# 1
Material: Pr6TlPb5
Method: DFT, PBE
State: optimized geometry

Cell: 5.164 9.178 8.176 Å, 90.00 71.97 89.99°
Fractional positions:
Pr1 0.500 0.751 0.000
Pr2 0.833 0.752 0.333
Pr3 0.500 0.249 0.000
Pr4 0.167 0.248 0.667
Pr5 0.167 0.752 0.667
Pr6 0.833 0.248 0.333
Pb1 0.664 0.000 0.672
Pb2 0.000 0.500 0.000
Pb3 0.667 0.500 0.665
Pb4 0.336 0.000 0.328
Pb5 0.333 0.500 0.335
Tl1 0.000 0.000 0.000

## Properties
* M_tot: 0.001 μB per atom
* formation energy from the elements: -0.51 eV/atom

=====

# 2
Material: PrTmTlPb
Method: DFT, PBE
State: optimized geometry

Cell: 5.479 5.479 5.479 Å, 60.00 60.00 60.00°
Fractional positions:
Tm1 0.750 0.750 0.750
Pb1 0.500 0.500 0.500
Tl1 0.000 0.000 0.000
Pr1 0.250 0.250 0.250

## Properties
* M_tot: 0.000 μB per atom
* formation energy from the elements: -0.36 eV/atom
* excess energy over the best structure of this formula in the dataset: 37 meV/atom

=====

# 3
Material: PrTmTlPb
Method: DFT, PBE
State: optimized geometry

Cell: 5.061 5.061 5.739 Å, 116.16 116.16 90.00°
Fractional positions:
Pr1 0.750 0.250 0.500
Tl1 0.000 0.000 0.000
Pb1 0.500 0.500 0.000
Tm1 0.250 0.750 0.500

## Properties
* M_tot: 0.000 μB per atom
* formation energy from the elements: -0.39 eV/atom
* excess energy over the best structure of this formula in the dataset: 0 meV/atom

=====

# 4
Material: PrYTlPb
Method: DFT, PBE
State: optimized geometry

Cell: 5.503 5.503 5.503 Å, 60.00 60.00 60.00°
Fractional positions:
Pr1 0.250 0.250 0.250
Y1 0.750 0.750 0.750
Pb1 0.500 0.500 0.500
Tl1 0.000 0.000 0.000

## Properties
* M_tot: 0.000 μB per atom
* formation energy from the elements: -0.41 eV/atom
* excess energy over the best structure of this formula in the dataset: 33 meV/atom

=====

What is the formation energy from the elements in the second record? -0.36 eV/atom